# 1
A plane-wave DFT calculation with GGA-PBE was carried out for a relaxed structure of Gd3Tl5Pb2.

Calculated values
Energy relative to the lowest polymorph listed for this composition   3.03 kJ per mole of atoms
E   -3.62 eV per atom
Space-group type   No. 65

abc: 12.5980 12.5980 4.7085
angles: 90.00 90.00 158.25
With the nearest neighbours (Å) after each atom.
Positions (direct):
Gd: 0.5000 0.5000 0.5000  8 Tl 3.35-3.41, 4 Pb 3.38
Gd: 0.3094 0.6906 0.5000  2 Pb 3.28, 8 Tl 3.29-3.46
Gd: 0.6906 0.3094 0.5000  2 Pb 3.28, 8 Tl 3.29-3.46
Pb: 0.5982 0.4018 0.0000  4 Gd 3.28-3.38, 8 Tl 3.35-3.59
Pb: 0.4018 0.5982 0.0000  4 Gd 3.28-3.38, 8 Tl 3.35-3.59
Tl: 0.0989 0.9011 0.5000  4 Gd 3.29-3.41, 4 Pb 3.35, 4 Tl 3.40-3.56
Tl: 0.2070 0.7930 0.0000  4 Tl 3.19-3.56, 6 Gd 3.37-3.46
Tl: 0.7930 0.2070 0.0000  4 Tl 3.19-3.56, 6 Gd 3.37-3.46
Tl: 0.0000 0.0000 0.0000  4 Gd 3.35, 4 Tl 3.40, 4 Pb 3.40
Tl: 0.9011 0.0989 0.5000  4 Gd 3.29-3.41, 4 Pb 3.35, 4 Tl 3.40-3.56


# 2
A plane-wave DFT calculation with GGA-PBE was carried out for a relaxed structure of Er5Lu2Ni2S2.

Calculated values
E   -5.53 eV per atom
Space-group type   No. 44

abc: 8.7852 8.7852 9.0616
angles: 121.05 121.05 24.50
With the nearest neighbours (Å) after each atom.
Positions (direct):
Er: 0.1210 0.1210 0.7030  2 Ni 2.77, 3 S 2.87-2.93
Er: 0.3642 0.3642 0.1023  2 Ni 2.83, 2 S 2.85
Er: 0.6358 0.6358 0.3739  2 Ni 2.84, 2 S 2.85
Er: 0.0000 0.0000 0.9881  3 S 2.93-3.11
Er: 0.8791 0.8791 0.4611  2 Ni 2.77, 3 S 2.87-2.94
Lu: 0.3163 0.3163 0.6909  3 Ni 2.69-2.98, 1 S 2.95
Lu: 0.6838 0.6838 0.0585  3 Ni 2.69-2.98, 1 S 2.95
Ni: 0.2387 0.2387 0.3087  3 Lu 2.69-2.98, 4 Er 2.77-2.84
Ni: 0.7616 0.7616 0.8316  3 Lu 2.69-2.98, 4 Er 2.77-2.83
S: 0.5001 0.5001 0.7393  6 Er 2.93-2.94, 2 Lu 2.95
S: 0.0000 0.0000 0.3318  7 Er 2.85-3.11